Entry 1:
A relaxed structure of Sc2Al8Ni, computed with PBE.

Cell lengths 4.1275, 4.1275, 10.7761 Å; angles 90.00, 90.00, 90.00 degrees
Element x y z (fractional)
Al1 0.5000 0.5000 0.3073
Al2 0.0000 0.5000 0.5000
Al3 0.5000 0.5000 0.6927
Al4 0.0000 0.5000 0.8759
Al5 0.5000 0.0000 0.8759
Al6 0.5000 0.0000 0.5000
Al7 0.5000 0.0000 0.1241
Al8 0.0000 0.5000 0.1241
Sc1 0.0000 0.0000 0.3105
Sc2 0.0000 0.0000 0.6895
Ni1 0.0000 0.0000 0.0000

Calculated values
The symmetry is P4/mmm. The energy of formation from the pure elements comes out at -5.21 eV/f.u. For the volume, the calculation gives 16.689 Å³ per atom.

***

Entry 2:
A relaxed structure of YHoMgHg, computed with PBE.

Cell lengths 3.7773, 3.7773, 7.3648 Å; angles 90.00, 90.00, 90.00 degrees
Element x y z (fractional)
Ho1 0.0000 0.0000 0.3515
Y1 0.0000 0.0000 0.8605
Mg1 0.5000 0.5000 0.6043
Hg1 0.5000 0.5000 0.1116

Calculated values
The symmetry is P4mm. The value obtained for the energy above the most stable polymorph in this dataset is 0.0 meV/atom. The energy of formation from the pure elements comes out at -1.18 eV/f.u. For the volume, the calculation gives 26.270 Å³ per atom.